The following is a DFT calculation (PBE-GGA) of BaSi2Se after structural relaxation.

Raw formation energy ... -150 kJ/mol of formula units
Excess energy over the best structure of this formula in the dataset ... 73 meV per atom

Lattice parameters (Å, degrees): 6.1634 6.1634 5.1708 77.76 77.76 38.37
With the nearest neighbours (Å) after each atom.
Fractional coordinates of all 4 atoms:
Se (0.2500, 0.2500, 0.2500)  2 Si 2.60
Ba (0.7500, 0.7500, 0.7500)  4 Se 3.28, 4 Si 3.45
Si (0.0417, 0.0417, 0.1452)  2 Si 2.40, 1 Se 2.60
Si (0.4583, 0.4583, 0.3548)  2 Si 2.40, 1 Se 2.60